(1)
KZn3Cl (PBE, optimized geometry); V = 261.7 Å³/cell; Fermi-level density of states = 0.000 states/eV/atom; size of the total moment = 0.00 Bohr magnetons per cell; formation energy (no corrections) = 0.351 eV/atom
1.0
6.396 0.000 0.000
0.000 6.396 0.000
0.000 0.000 6.396
K Zn Cl
1 3 1
Cartesian
0.000 0.000 0.000
0.000 0.000 3.198
0.000 3.198 0.000
3.198 0.000 0.000
3.198 3.198 3.198

---

(2)
LiAsSe2Cl (PBE, optimized geometry); V = 133.3 Å³/cell; Fermi-level density of states = 0.606 states/eV/atom; size of the total moment = 2.00 Bohr magnetons per cell; formation energy (no corrections) = 0.580 eV/atom
1.0
5.216 0.000 0.000
0.000 5.216 0.000
0.000 0.000 4.898
Li As Se Cl
1 1 2 1
Cartesian
0.000 0.000 0.000
2.608 2.608 0.000
0.000 2.608 2.449
2.608 0.000 2.449
2.608 2.608 2.449

---

(3)
Li2Co2Ag (PBE, optimized geometry); V = 136.3 Å³/cell; Fermi-level density of states = 0.751 states/eV/atom; size of the total moment = 6.34 Bohr magnetons per cell; formation energy = 350 meV per atom
1.0
7.254 0.000 0.000
0.000 7.254 0.000
0.000 0.000 2.590
Li Co Ag
4 4 2
Cartesian
1.328 2.299 0.000
2.299 5.925 0.000
4.955 1.328 0.000
5.925 4.955 0.000
0.777 4.404 1.295
2.850 0.777 1.295
4.404 6.477 1.295
6.477 2.850 1.295
0.000 0.000 0.000
3.627 3.627 0.000

---

(4)
SrSc (PBE, optimized geometry); V = 144.7 Å³/cell; Fermi-level density of states = 2.019 states/eV/atom; size of the total moment = 1.88 Bohr magnetons per cell; formation energy = 364 meV per atom
1.0
5.856 0.000 0.000
0.000 3.663 0.000
0.000 0.000 6.744
Sr Sc
2 2
Cartesian
1.464 0.000 1.152
4.392 0.000 5.592
1.464 1.832 4.248
4.392 1.832 2.496

---

(5)
MgAlSbPb (PBE, optimized geometry); V = 392.3 Å³/cell; Fermi-level density of states = 0.549 states/eV/atom; size of the total moment = 0.00 Bohr magnetons per cell; formation energy (no corrections) = 0.110 eV/atom
1.0
7.320 0.000 0.000
0.000 7.320 0.000
0.000 0.000 7.320
Mg Al Sb Pb
4 4 4 4
Cartesian
0.000 0.000 0.000
0.000 3.660 3.660
3.660 0.000 3.660
3.660 3.660 0.000
0.000 0.000 3.660
0.000 3.660 0.000
3.660 0.000 0.000
3.660 3.660 3.660
1.830 1.830 5.490
1.830 5.490 1.830
5.490 1.830 1.830
5.490 5.490 5.490
1.830 1.830 1.830
1.830 5.490 5.490
5.490 1.830 5.490
5.490 5.490 1.830

---

(6)
NaS (PBE, optimized geometry); V = 260.8 Å³/cell; Fermi-level density of states = 0.112 states/eV/atom; size of the total moment = 0.00 Bohr magnetons per cell; formation energy (no corrections) = -0.687 eV/atom
1.0
4.393 0.000 0.000
0.000 16.425 0.000
0.000 0.000 3.615
Na S
6 6
Cartesian
0.000 0.000 0.000
0.000 5.910 0.000
0.000 10.515 0.000
2.196 2.303 0.000
2.196 8.212 0.000
2.196 14.122 0.000
0.000 3.726 1.808
0.000 8.212 1.808
0.000 12.698 1.808
2.196 0.000 1.808
2.196 4.486 1.808
2.196 11.939 1.808

---

(7)
BaEuSnAu (PBE, optimized geometry); V = 516.3 Å³/cell; Fermi-level density of states = 3.317 states/eV/atom; size of the total moment = 27.55 Bohr magnetons per cell; formation energy = -612 meV per atom
1.0
8.022 0.000 0.000
0.000 8.022 0.000
0.000 0.000 8.022
Ba Eu Sn Au
4 4 4 4
Cartesian
0.000 0.000 0.000
0.000 4.011 4.011
4.011 0.000 4.011
4.011 4.011 0.000
0.000 0.000 4.011
0.000 4.011 0.000
4.011 0.000 0.000
4.011 4.011 4.011
2.006 2.006 2.006
2.006 6.017 6.017
6.017 2.006 6.017
6.017 6.017 2.006
2.006 2.006 6.017
2.006 6.017 2.006
6.017 2.006 2.006
6.017 6.017 6.017

---

(8)
Cu2Ag (PBE, optimized geometry); V = 168.5 Å³/cell; Fermi-level density of states = 0.204 states/eV/atom; size of the total moment = 0.00 Bohr magnetons per cell; formation energy = 99 meV per atom
1.0
3.687 0.000 0.000
0.000 11.797 0.000
0.000 0.000 3.874
Cu Ag
8 4
Cartesian
0.000 1.096 0.968
0.000 2.967 2.905
0.000 8.830 0.968
0.000 10.701 2.905
1.843 2.932 0.968
1.843 4.802 2.905
1.843 6.995 0.968
1.843 8.865 2.905
0.000 4.878 0.968
0.000 6.919 2.905
1.843 1.021 2.905
1.843 10.776 0.968

---

(9)
KCuHg2 (PBE, optimized geometry); V = 218.0 Å³/cell; Fermi-level density of states = 0.374 states/eV/atom; size of the total moment = 0.00 Bohr magnetons per cell; formation energy = -51 meV per atom
1.0
5.703 0.000 0.000
0.000 4.531 0.000
-0.007 0.000 8.437
K Cu Hg
2 2 4
Cartesian
0.000 0.000 0.000
2.846 0.000 2.839
1.428 2.266 5.660
4.289 2.266 5.659
0.004 0.000 5.043
2.841 2.266 8.400
2.855 0.000 6.230
5.695 2.266 2.875

---

(10)
CrReAs (PBE, optimized geometry); V = 84.6 Å³/cell; Fermi-level density of states = 0.761 states/eV/atom; size of the total moment = 0.00 Bohr magnetons per cell; formation energy = 288 meV per atom
1.0
2.888 0.000 0.000
0.000 3.946 0.000
0.000 0.000 7.426
Cr Re As
2 2 2
Cartesian
0.000 0.000 0.000
1.444 1.973 3.713
0.000 0.000 4.932
1.444 1.973 1.219
0.000 0.000 2.443
1.444 1.973 6.156

---

(11)
Si2TcMo (PBE, optimized geometry); V = 54.5 Å³/cell; Fermi-level density of states = 1.131 states/eV/atom; size of the total moment = 0.01 Bohr magnetons per cell; formation energy (no corrections) = -0.281 eV/atom
1.0
2.981 0.000 0.000
0.000 2.981 0.000
0.000 0.000 6.137
Si Tc Mo
2 1 1
Cartesian
0.000 0.000 1.426
0.000 0.000 4.712
1.490 1.490 0.000
1.490 1.490 3.069

---

(12)
YGa12Cu4 (PBE, optimized geometry); V = 318.7 Å³/cell; Fermi-level density of states = 0.341 states/eV/atom; size of the total moment = 0.00 Bohr magnetons per cell; formation energy = -40 meV per atom
1.0
-4.303 4.303 4.303
4.303 -4.303 4.303
4.303 4.303 -4.303
Y Ga Cu
1 12 4
Cartesian
0.000 0.000 0.000
2.976 1.355 0.000
5.630 1.355 0.000
4.303 -1.327 2.948
2.948 4.303 -1.327
1.355 0.000 2.976
4.303 1.327 2.948
0.000 2.976 1.355
2.948 4.303 1.327
1.355 0.000 5.630
0.000 5.630 1.355
-1.327 2.948 4.303
1.327 2.948 4.303
2.151 2.151 -2.151
2.151 -2.151 2.151
-2.151 2.151 2.151
2.151 2.151 2.151